Record 1
An optimized crystal structure of GdYCu2Sn2, computed with PBE.

abc: 4.545 4.545 7.250
angles: 90.00 90.00 120.00
Fractional positions:
Cu: 0.333 0.667 0.050
Cu: 0.667 0.333 0.547
Gd: 0.000 0.000 0.736
Sn: 0.333 0.667 0.465
Sn: 0.667 0.333 0.967
Y: 0.000 0.000 0.235

Properties
E_tot   -5.04 eV per atom

Record 2
An optimized crystal structure of Rb2LiHgH6, computed with PBE.

abc: 5.812 5.812 5.802
angles: 119.94 119.94 59.91
Fractional positions:
H: 0.759 0.240 0.240
H: 0.240 0.759 0.240
H: 0.242 0.242 0.244
H: 0.758 0.758 0.756
H: 0.760 0.241 0.760
H: 0.241 0.760 0.760
Hg: 0.000 0.000 0.000
Li: 0.500 0.500 0.500
Rb: 0.750 0.750 0.250
Rb: 0.250 0.250 0.750

Properties
E_tot   -2.37 eV per atom

Record 3
An optimized crystal structure of La3ZnO, computed with PBE.

abc: 7.085 7.085 7.085
angles: 120.01 89.97 120.03
Fractional positions:
La: 0.248 0.500 0.248
La: 0.747 0.497 0.250
La: 0.752 0.000 0.252
La: 0.248 0.000 0.748
La: 0.253 0.503 0.750
La: 0.752 0.500 0.752
O: 0.500 0.500 0.000
O: 0.000 0.500 0.500
Zn: 0.250 0.000 0.250
Zn: 0.750 0.000 0.750

Properties
E_tot   -5.45 eV per atom

Record 4
An optimized crystal structure of GdHoAl4, computed with PBE.

abc: 9.966 9.966 6.543
angles: 90.00 90.00 156.23
Fractional positions:
Al: 0.500 0.500 0.000
Al: 0.357 0.643 0.046
Al: 0.928 0.072 0.250
Al: 0.357 0.643 0.454
Al: 0.500 0.500 0.500
Al: 0.643 0.357 0.546
Al: 0.072 0.928 0.750
Al: 0.643 0.357 0.954
Gd: 0.087 0.913 0.250
Gd: 0.913 0.087 0.750
Ho: 0.764 0.236 0.250
Ho: 0.236 0.764 0.750

Properties
E_tot   -4.45 eV per atom

Record 5
An optimized crystal structure of Zr4Nb2Ga3C3, computed with PBE.

abc: 5.667 5.667 14.296
angles: 101.44 101.44 60.06
Fractional positions:
C: 0.500 0.000 0.000
C: 0.828 0.336 0.000
C: 0.172 0.664 0.000
C: 0.336 0.828 0.500
C: 0.000 0.500 0.500
C: 0.664 0.172 0.500
Ga: 0.581 0.711 0.249
Ga: 0.875 0.125 0.250
Ga: 0.289 0.419 0.251
Ga: 0.711 0.581 0.749
Ga: 0.125 0.875 0.750
Ga: 0.419 0.289 0.751
Nb: 0.527 0.357 0.082
Nb: 0.643 0.473 0.418
Nb: 0.357 0.527 0.582
Nb: 0.473 0.643 0.918
Zr: 0.194 0.036 0.095
Zr: 0.869 0.698 0.095
Zr: 0.302 0.131 0.405
Zr: 0.964 0.806 0.405
Zr: 0.036 0.194 0.595
Zr: 0.698 0.869 0.595
Zr: 0.131 0.302 0.905
Zr: 0.806 0.964 0.905

Properties
E_tot   -8.28 eV per atom

Record 6
An optimized crystal structure of UTlAgSe3, computed with PBE.

abc: 7.539 7.539 10.892
angles: 90.00 90.00 147.51
Last column: magnetic moment on the atom in μB.
Fractional positions:
Ag: 0.451 0.549 0.250  -0.01
Ag: 0.549 0.451 0.750  -0.01
Se: 0.369 0.631 0.037  -0.06
Se: 0.067 0.933 0.250  -0.06
Se: 0.369 0.631 0.463  -0.06
Se: 0.631 0.369 0.537  -0.06
Se: 0.933 0.067 0.750  -0.06
Se: 0.631 0.369 0.963  -0.06
Tl: 0.743 0.257 0.250  0.00
Tl: 0.257 0.743 0.750  0.00
U: 0.000 0.000 0.000  2.11
U: 0.000 0.000 0.500  2.13

Properties
E_tot   -5.25 eV per atom

Record 7
An optimized crystal structure of Zn4Pt3, computed with PBE.

abc: 7.299 7.299 4.477
angles: 90.00 90.00 60.00
Fractional positions:
Pt: 0.125 0.283 0.000
Pt: 0.306 0.553 0.000
Pt: 0.855 0.735 0.000
Pt: 0.399 0.098 0.500
Pt: 0.669 0.646 0.500
Pt: 0.217 0.828 0.500
Zn: 0.562 0.143 0.000
Zn: 0.715 0.438 0.000
Zn: 0.429 0.857 0.000
Zn: 0.009 0.990 0.000
Zn: 0.962 0.238 0.500
Zn: 0.514 0.391 0.500
Zn: 0.095 0.524 0.500
Zn: 0.809 0.943 0.500

Properties
Energy relative to the elements   -419 meV per atom
Excess energy over the best structure of this formula in the dataset   0 meV/atom
E_tot   -3.74 eV per atom

Record 8
An optimized crystal structure of UReB4, computed with PBE.

abc: 5.936 11.425 3.605
angles: 90.00 90.00 90.00
Last column: magnetic moment on the atom in μB.
Fractional positions:
B: 0.868 0.033 0.500  0.00
B: 0.385 0.047 0.500  0.00
B: 0.790 0.189 0.500  0.00
B: 0.471 0.193 0.500  0.00
B: 0.971 0.307 0.500  0.00
B: 0.290 0.311 0.500  0.00
B: 0.885 0.453 0.500  0.00
B: 0.368 0.467 0.500  0.00
B: 0.632 0.533 0.500  0.00
B: 0.115 0.547 0.500  0.00
B: 0.710 0.689 0.500  0.00
B: 0.029 0.693 0.500  0.00
B: 0.529 0.807 0.500  0.00
B: 0.210 0.811 0.500  0.00
B: 0.615 0.953 0.500  0.00
B: 0.132 0.967 0.500  0.00
Re: 0.640 0.094 0.000  -0.03
Re: 0.140 0.406 0.000  -0.03
Re: 0.860 0.594 0.000  -0.03
Re: 0.360 0.906 0.000  -0.03
U: 0.128 0.150 0.000  0.41
U: 0.628 0.350 0.000  0.42
U: 0.372 0.650 0.000  0.42
U: 0.872 0.850 0.000  0.41

Properties
Excess energy over the best structure of this formula in the dataset   3 meV/atom
E_tot   -8.94 eV per atom

Record 9
An optimized crystal structure of SnAs2Au2, computed with PBE.

abc: 6.212 6.212 11.916
angles: 90.00 90.00 147.94
Fractional positions:
As: 0.698 0.302 0.049
As: 0.698 0.302 0.451
As: 0.302 0.698 0.549
As: 0.302 0.698 0.951
Au: 0.500 0.500 0.000
Au: 0.736 0.264 0.250
Au: 0.500 0.500 0.500
Au: 0.264 0.736 0.750
Sn: 0.977 0.023 0.250
Sn: 0.023 0.977 0.750

Properties
E_tot   -3.94 eV per atom

Record 10
An optimized crystal structure of Zr3As2Pt2, computed with PBE.

abc: 7.968 7.968 7.968
angles: 33.96 33.96 33.96
Fractional positions:
As: 0.249 0.249 0.249
As: 0.748 0.748 0.748
Pt: 0.014 0.014 0.014
Pt: 0.496 0.496 0.496
Zr: 0.377 0.377 0.377
Zr: 0.623 0.623 0.623
Zr: 0.869 0.869 0.869

Properties
E_tot   -7.40 eV per atom

Record 11
An optimized crystal structure of NdSnIr, computed with PBE.

abc: 8.469 8.469 3.255
angles: 90.00 90.00 120.00
Fractional positions:
Ir: 0.642 0.000 0.500
Ir: 0.358 0.358 0.500
Ir: 0.000 0.642 0.500
Nd: 0.303 0.000 0.000
Nd: 0.000 0.303 0.000
Nd: 0.697 0.697 0.000
Sn: 0.667 0.333 0.000
Sn: 0.333 0.667 0.000
Sn: 0.000 0.000 0.500

Properties
E_tot   -5.95 eV per atom

Record 12
An optimized crystal structure of ZrSi, computed with PBE.

abc: 5.912 5.912 4.826
angles: 90.00 90.00 120.00
Fractional positions:
Si: 0.000 0.000 0.000
Si: 0.849 0.151 0.500
Si: 0.303 0.151 0.500
Si: 0.849 0.697 0.500
Zr: 0.506 0.012 0.000
Zr: 0.506 0.494 0.000
Zr: 0.988 0.494 0.000
Zr: 0.333 0.667 0.500

Properties
E_tot   -7.11 eV per atom

Record 13
An optimized crystal structure of Ho2NiIr, computed with PBE.

abc: 4.178 5.507 7.131
angles: 90.00 90.00 90.00
Fractional positions:
Ho: 0.000 0.118 0.178
Ho: 0.500 0.617 0.321
Ho: 0.000 0.882 0.678
Ho: 0.500 0.383 0.821
Ir: 0.000 0.617 0.039
Ir: 0.000 0.383 0.539
Ni: 0.500 0.113 0.462
Ni: 0.500 0.887 0.962

Properties
Energy relative to the elements   -684 meV per atom
E_tot   -6.58 eV per atom

Record 14
An optimized crystal structure of YHoOs, computed with PBE.

abc: 4.726 4.726 4.726
angles: 60.00 60.00 60.00
Fractional positions:
Ho: 0.500 0.500 0.500
Os: 0.000 0.000 0.000
Y: 0.250 0.250 0.250

Properties
Energy relative to the elements   773 meV per atom
E_tot   -6.65 eV per atom

Record 15
An optimized crystal structure of GdPd, computed with PBE.

abc: 4.401 4.401 5.750
angles: 90.00 90.00 120.00
Fractional positions:
Gd: 0.667 0.333 0.250
Gd: 0.333 0.667 0.750
Pd: 0.000 0.000 0.000
Pd: 0.000 0.000 0.500

Properties
Energy relative to the elements   -803 meV per atom
E_tot   -5.72 eV per atom

Record 16
An optimized crystal structure of SmIn3S6, computed with PBE.

abc: 10.952 3.905 11.294
angles: 90.00 111.97 90.00
Fractional positions:
In: 0.167 0.250 0.059
In: 0.482 0.750 0.203
In: 0.903 0.250 0.331
In: 0.097 0.750 0.669
In: 0.518 0.250 0.797
In: 0.833 0.750 0.941
S: 0.396 0.250 0.047
S: 0.939 0.250 0.104
S: 0.261 0.750 0.242
S: 0.740 0.750 0.299
S: 0.536 0.250 0.397
S: 0.087 0.750 0.427
S: 0.913 0.250 0.573
S: 0.464 0.750 0.603
S: 0.260 0.250 0.701
S: 0.739 0.250 0.758
S: 0.061 0.750 0.896
S: 0.604 0.750 0.953
Sm: 0.296 0.250 0.447
Sm: 0.704 0.750 0.553

Properties
E_tot   -4.67 eV per atom

Record 17
An optimized crystal structure of GdDyIn2Ni4, computed with PBE.

abc: 4.412 4.412 8.521
angles: 90.00 90.00 120.00
Fractional positions:
Dy: 0.000 0.000 0.000
Gd: 0.667 0.333 0.500
In: 0.333 0.667 0.248
In: 0.333 0.667 0.752
Ni: 0.667 0.333 0.164
Ni: 0.000 0.000 0.331
Ni: 0.000 0.000 0.669
Ni: 0.667 0.333 0.836

Properties
Excess energy over the best structure of this formula in the dataset   55 meV/atom
E_tot   -5.03 eV per atom

Record 18
An optimized crystal structure of DyMgGaPd, computed with PBE.

abc: 10.987 10.987 5.075
angles: 90.00 90.00 162.87
Fractional positions:
Dy: 0.591 0.409 0.503
Dy: 0.409 0.591 0.503
Ga: 0.943 0.057 0.004
Ga: 0.057 0.943 0.004
Mg: 0.816 0.184 0.996
Mg: 0.184 0.816 0.996
Pd: 0.802 0.198 0.497
Pd: 0.198 0.802 0.497

Properties
E_tot   -3.87 eV per atom

Record 19
An optimized crystal structure of ReTcNO, computed with PBE.

abc: 5.531 2.778 5.856
angles: 90.00 90.00 90.00
Fractional positions:
N: 0.688 0.000 0.309
N: 0.188 0.000 0.691
O: 0.077 0.500 0.111
O: 0.577 0.500 0.889
Re: 0.050 0.000 0.381
Re: 0.550 0.000 0.619
Tc: 0.432 0.500 0.228
Tc: 0.932 0.500 0.772

Properties
Excess energy over the best structure of this formula in the dataset   0 meV/atom
E_tot   -9.51 eV per atom

Record 20
An optimized crystal structure of LaBPt4, computed with PBE.

abc: 5.528 5.528 7.710
angles: 90.00 90.00 120.00
Fractional positions:
B: 0.667 0.333 0.500
B: 0.333 0.667 0.500
La: 0.000 0.000 0.000
La: 0.000 0.000 0.500
Pt: 0.667 0.333 0.000
Pt: 0.333 0.667 0.000
Pt: 0.500 0.000 0.301
Pt: 0.000 0.500 0.301
Pt: 0.500 0.500 0.301
Pt: 0.500 0.000 0.699
Pt: 0.000 0.500 0.699
Pt: 0.500 0.500 0.699

Properties
E_tot   -6.79 eV per atom